1.
The following is a PBE calculation of a relaxed LiPaCuS3 crystal, from Alexandria via LeMat-Bulk.

extended XYZ file:
```
12
Lattice="-2.2763 -1.5867 2.4301 6.0613 -2.0220 4.3576 -2.0296 7.4146 2.9400" Properties=species:S:1:pos:R:3 pbc="T T T"
Pa 1.6645 2.8924 7.6465
S -1.7704 5.8552 3.5642
Cu -1.2054 3.7967 2.7494
S 3.5258 -2.0494 6.1634
Li -1.2803 4.3857 5.8630
Pa 0.0909 0.9134 2.0812
S 0.4865 -0.8255 4.1155
Cu 2.9608 0.0092 6.9783
S 3.0695 1.7466 5.4154
S -1.3141 2.0593 4.3123
Li 3.0357 -0.5798 3.8647
S 1.2688 4.6314 5.6122
```

Summary:
Crystal system   monoclinic
Raw formation energy   -1202 meV per atom

2.
The following is a PBE calculation of a relaxed LiPa2CuS5 crystal, from Alexandria via LeMat-Bulk.

extended XYZ file:
```
18
Lattice="-0.1084 2.0160 -3.1718 -5.4340 -5.7934 -1.2680 -8.0971 6.6141 4.4806" Properties=species:S:1:pos:R:3 pbc="T T T"
S -9.0778 4.8475 1.1629
Pa -4.1069 1.1413 0.8658
S -9.6362 -0.2897 -2.0831
S -8.9269 1.6217 1.3359
Pa -11.0766 2.9565 0.0294
S -6.2811 -0.6064 -0.1707
S -3.8416 -3.0875 -1.8310
Pa -6.9978 3.3984 2.3992
S -0.2155 0.0322 0.0278
Li -7.9172 1.4175 -1.0568
Cu -8.3697 -1.4554 -0.6389
Pa -5.7469 -1.2927 -2.8536
Li -2.1813 -1.4734 -0.8619
S -6.0599 2.8707 -0.1967
S -2.0957 2.5923 -0.5092
Cu -8.1404 6.6369 2.2682
S -11.4797 0.1919 0.5144
S -3.7057 0.3924 -1.8523
```

Summary:
Crystal system   orthorhombic
Raw formation energy   -1358 meV per atom

3.
The following is a PBE calculation of a relaxed Li2PaCu2Se4 crystal, from Alexandria via LeMat-Bulk.

extended XYZ file:
```
9
Lattice="-2.5006 0.9274 2.7733 -1.7708 -7.4977 0.9106 6.6807 2.7014 2.4515" Properties=species:S:1:pos:R:3 pbc="T T T"
Li 2.1234 -0.1355 4.6291
Pa 0.0000 0.0000 0.0000
Se 0.3349 -3.6690 4.1980
Se -1.6549 -1.6078 1.7145
Cu 3.4361 1.8634 2.4752
Li 0.2859 -3.7334 1.5063
Se 2.0745 -0.1998 1.9374
Se 4.0642 -2.2611 4.4208
Cu -1.0268 -5.7323 3.6602
```

Summary:
Crystal system   monoclinic
Raw formation energy   -919 meV per atom

4.
The following is a PBE calculation of a relaxed Li2PaCuSe4 crystal, from Alexandria via LeMat-Bulk.

extended XYZ file:
```
8
Lattice="4.1293 0.0000 0.0000 0.0000 6.3555 0.1992 0.0000 -2.1380 6.5197" Properties=species:S:1:pos:R:3 pbc="T T T"
Se 2.0647 3.1458 4.9545
Se 2.0647 1.0718 1.7644
Se 0.0000 4.3519 1.6772
Li 2.0647 -1.0690 3.2599
Pa 2.0647 3.1778 0.0996
Li 0.0000 2.1088 3.3595
Se 0.0000 -0.1344 5.0417
Cu 0.0000 0.0000 0.0000
```

Summary:
Crystal system   monoclinic
Raw formation energy   -1026 meV per atom

5.
The following is a PBE calculation of a relaxed LiPaCuSi crystal, from Alexandria via LeMat-Bulk.

extended XYZ file:
```
4
Lattice="-1.6926 -4.3129 -0.5570 2.9191 -3.6204 -0.3854 0.3372 -3.1047 3.4675" Properties=species:S:1:pos:R:3 pbc="T T T"
Pa 0.0000 0.0000 0.0000
Li 0.7818 -5.5190 1.2625
Cu 1.1727 -8.2785 1.8938
Si 0.3909 -2.7595 0.6313
```

Summary:
Crystal system   cubic
Raw formation energy   -104 meV per atom

6.
The following is a PBE calculation of a relaxed LiPaCu2Si2 crystal, from Alexandria via LeMat-Bulk.

extended XYZ file:
```
6
Lattice="4.0778 0.0000 0.0000 -2.0389 3.5315 0.0000 0.0000 0.0000 6.5493" Properties=species:S:1:pos:R:3 pbc="T T T"
Si 0.0000 2.3543 1.7603
Pa 0.0000 0.0000 0.0000
Si 2.0389 1.1772 4.7890
Cu 2.0389 1.1772 2.1305
Cu 0.0000 2.3543 4.4187
Li 0.0000 0.0000 3.2746
```

Summary:
Crystal system   trigonal
Raw formation energy   -401 meV per atom

7.
The following is a PBE calculation of a relaxed LiPaCuSn crystal, from Alexandria via LeMat-Bulk.

extended XYZ file:
```
4
Lattice="4.7496 0.0000 0.0000 2.3748 4.1133 0.0000 2.3748 1.3711 3.8781" Properties=species:S:1:pos:R:3 pbc="T T T"
Cu 2.3748 1.3711 0.9695
Pa 4.7496 2.7422 1.9390
Sn 0.0000 0.0000 0.0000
Li 7.1244 4.1133 2.9085
```

Summary:
DFT formation energy   -49 meV per atom
Crystal system   cubic

8.
The following is a PBE calculation of a relaxed Li4Pa3CuTe8 crystal, from Alexandria via LeMat-Bulk.

extended XYZ file:
```
16
Lattice="-8.1281 -0.5767 -2.3547 -0.4699 -7.8633 3.5479 2.5925 6.5710 4.7184" Properties=species:S:1:pos:R:3 pbc="T T T"
Te -4.9304 0.9690 1.5053
Li -4.0641 -0.2883 -1.1774
Te 0.5404 4.4261 5.0122
Te -5.1774 -3.1088 3.3563
Te -6.5460 -6.2952 0.8995
Cu -0.2350 -3.9316 1.7740
Te -3.6957 4.1256 3.7850
Pa 1.0613 -0.6462 4.1332
Pa -3.0028 -0.9345 2.9558
Pa -4.2990 -4.2200 0.5966
Te -2.3099 -5.9946 2.1266
Li 1.2962 3.2855 2.3592
Te -0.8282 1.2398 2.5553
Te -1.0751 -2.8380 4.4063
Li 0.0000 0.0000 0.0000
Li -2.7678 2.9971 1.1818
```

Summary:
Crystal system   monoclinic
Raw formation energy   -751 meV per atom

The following density of states at the Fermi level values (in states/eV per atom) correspond, in order, to the records above: 0.385, 0.567, 0.303, 0.162, 1.033, 0.358, 1.244, 1.197.